Entry 1:
The following is a DFT calculation (meta-GGA SCAN) of Sr3Eu at its PBEsol-relaxed geometry.

Computed properties:
V ... 49.02 A^3/atom
Size of the total moment ... 15.768 μB/cell
E_form ... 46.9 meV/atom
Energy above the lowest structure with this stoichiometry ... 1 meV per atom

Lattice parameters (Å, degrees): 6.7348 8.1996 8.1996 120.00 90.00 90.00
Site moments in Bohr magnetons follow the coordinates.
Atoms (fractional coordinates):
Sr1 0.7500 0.8313 0.1687  -0.02
Sr2 0.7500 0.3375 0.1687  -0.02
Sr3 0.2500 0.1687 0.3375  -0.02
Sr4 0.7500 0.8313 0.6625  -0.02
Sr5 0.2500 0.1687 0.8313  -0.02
Eu1 0.7500 0.3333 0.6667  -7.05
Sr6 0.2500 0.6625 0.8313  -0.02
Eu2 0.2500 0.6667 0.3333  -7.05

Entry 2:
The following is a DFT calculation (meta-GGA SCAN) of BaLaP at its PBEsol-relaxed geometry.

Computed properties:
V ... 30.46 A^3/atom
Size of the total moment ... 0.000 μB/cell
E_form ... 143.6 meV/atom
Energy above the lowest structure with this stoichiometry ... 1131 meV per atom

Lattice parameters (Å, degrees): 5.0559 5.0559 5.0559 60.00 60.00 60.00
Atoms (fractional coordinates):
Ba1 0.2500 0.2500 0.2500
La1 0.0000 0.0000 0.0000
P1 0.5000 0.5000 0.5000

Entry 3:
The following is a DFT calculation (meta-GGA SCAN) of Ba2CaI6 at its PBEsol-relaxed geometry.

Computed properties:
Formation energy (no corrections) ... -16.7 eV/f.u.
V ... 49.99 A^3/atom
Size of the total moment ... 0.000 μB/cell

Lattice parameters (Å, degrees): 7.7386 7.7386 15.0241 90.00 90.00 90.00
Atoms (fractional coordinates):
Ca1 0.5000 0.5000 0.5000
I1 0.1899 0.8101 0.1528
Ba1 0.0000 0.0000 0.6666
I2 0.8101 0.1899 0.8472
I3 0.6899 0.6899 0.3472
I4 0.7129 0.7129 0.0000
I5 0.7871 0.2129 0.5000
I6 0.2129 0.7871 0.5000
Ba2 0.5000 0.5000 0.1666
Ca2 0.0000 0.0000 0.0000
I7 0.3101 0.3101 0.6528
I8 0.3101 0.3101 0.3472
I9 0.8101 0.1899 0.1528
Ba3 0.0000 0.0000 0.3334
Ba4 0.5000 0.5000 0.8334
I10 0.6899 0.6899 0.6528
I11 0.2871 0.2871 0.0000
I12 0.1899 0.8101 0.8472

Entry 4:
The following is a DFT calculation (meta-GGA SCAN) of Cr2CuAs at its PBEsol-relaxed geometry.

Computed properties:
V ... 12.15 A^3/atom
Size of the total moment ... 4.001 μB/cell
E_form ... 163.2 meV/atom

Lattice parameters (Å, degrees): 3.6665 3.6665 4.4480 114.34 114.34 90.00
Site moments in Bohr magnetons follow the coordinates.
Atoms (fractional coordinates):
As1 0.5000 0.5000 0.0000  -0.08
Cr1 0.2500 0.7500 0.5000  1.98
Cr2 0.7500 0.2500 0.5000  1.98
Cu1 0.0000 0.0000 0.0000  0.04

Entry 5:
The following is a DFT calculation (meta-GGA SCAN) of Zn2CoOs at its PBEsol-relaxed geometry.

Computed properties:
V ... 12.59 A^3/atom
Size of the total moment ... 1.535 μB/cell
E_form ... 189.8 meV/atom
Energy above the lowest structure with this stoichiometry ... 76 meV per atom

Lattice parameters (Å, degrees): 2.6222 3.5907 5.3477 90.00 90.00 90.00
Site moments in Bohr magnetons follow the coordinates.
Atoms (fractional coordinates):
Zn1 0.0000 0.0000 0.0063  -0.01
Co1 0.0000 0.0000 0.5101  1.39
Os1 0.5000 0.5000 0.7311  0.19
Zn2 0.5000 0.5000 0.2524  -0.02

Entry 6:
The following is a DFT calculation (meta-GGA SCAN) of LiCrCu at its PBEsol-relaxed geometry.

Computed properties:
V ... 11.80 A^3/atom
Size of the total moment ... 0.000 μB/cell
E_form ... 363.5 meV/atom
Energy above the lowest structure with this stoichiometry ... 93 meV per atom

Lattice parameters (Å, degrees): 2.3525 2.3525 6.6085 100.25 100.25 90.00
Atoms (fractional coordinates):
Li1 0.3276 0.3276 0.6551
Cu1 0.6645 0.6645 0.3289
Cr1 0.0080 0.0080 0.0159